The following is a DFT calculation (SCAN) of a crystal of Y2MgAs2 relaxed with PBEsol.

Cell and atoms, written as POSCAR:
```
Y2MgAs2
1.0
3.854 0.000 0.000
0.000 7.531 0.000
0.000 0.000 7.531
Y As Mg
4 4 2
direct
0.500 0.156 0.656
0.500 0.656 0.844
0.500 0.844 0.344
0.500 0.344 0.156
0.000 0.348 0.848
0.000 0.848 0.652
0.000 0.652 0.152
0.000 0.152 0.348
0.000 0.000 0.000
0.000 0.500 0.500
```

Crystal system: tetragonal
Space group: P4/mbm
ΔH_f (0 K) in meV/atom: -1259

***

The following is a DFT calculation (SCAN) of a crystal of CuC3Cl relaxed with PBEsol.

Cell and atoms, written as POSCAR:
```
CuC3Cl
1.0
3.884 0.000 0.000
0.000 3.884 0.000
0.000 0.000 3.884
C Cu Cl
3 1 1
direct
0.000 0.500 0.000
0.000 0.000 0.500
0.500 0.000 0.000
0.000 0.000 0.000
0.500 0.500 0.500
```

Uncorrected formation energy in eV/atom: 3.039
Crystal system: cubic
Space group: Pm-3m

***

The following is a DFT calculation (SCAN) of a crystal of KCaZrIr2 relaxed with PBEsol.

Cell and atoms, written as POSCAR:
```
KCaZrIr2
1.0
4.900 0.000 0.000
0.000 4.900 0.000
0.000 0.000 5.589
Ca Ir K Zr
1 2 1 1
direct
0.000 0.000 0.500
0.000 0.500 0.000
0.500 0.000 0.000
0.500 0.500 0.500
0.000 0.000 0.000
```

Crystal system: tetragonal
Space group: P4/mmm
ΔH_f (0 K) in meV/atom: 786

***

The following is a DFT calculation (SCAN) of a crystal of PuB4 relaxed with PBEsol.

Cell and atoms, written as POSCAR:
```
PuB4
1.0
-1.379 -3.282 -1.739
3.505 1.643 -5.880
5.592 -3.586 2.331
Pu B
4 16
direct
0.000 0.188 0.688
0.000 0.688 0.812
0.000 0.312 0.188
0.000 0.812 0.312
0.500 0.322 0.461
0.500 0.678 0.539
0.500 0.539 0.322
0.500 0.461 0.678
0.201 0.000 0.000
0.799 0.500 0.500
0.799 0.000 0.000
0.201 0.500 0.500
0.500 0.587 0.087
0.500 0.087 0.413
0.500 0.913 0.587
0.500 0.413 0.913
0.500 0.039 0.178
0.500 0.178 0.961
0.500 0.822 0.039
0.500 0.961 0.822
```

Crystal system: tetragonal
Space group: P4/mbm
ΔH_f (0 K) in meV/atom: -423

***

The following is a DFT calculation (SCAN) of a crystal of Zn2SnO2 relaxed with PBEsol.

Cell and atoms, written as POSCAR:
```
Zn2SnO2
1.0
3.743 0.000 0.000
0.000 3.743 0.000
-1.871 -1.871 6.566
Zn Sn O
2 1 2
direct
0.250 0.750 0.500
0.750 0.250 0.500
0.000 0.000 0.000
0.191 0.191 0.382
0.809 0.809 0.618
```

Uncorrected formation energy in eV/atom: -0.776
Crystal system: tetragonal
Space group: I4/mmm

***

The following is a DFT calculation (SCAN) of a crystal of RhSN2Cl relaxed with PBEsol.

Cell and atoms, written as POSCAR:
```
RhSN2Cl
1.0
3.698 0.000 0.000
0.000 3.698 0.000
0.000 0.000 5.259
S N Rh Cl
1 2 1 1
direct
0.000 0.000 0.500
0.000 0.500 0.000
0.500 0.000 0.000
0.000 0.000 0.000
0.500 0.500 0.500
```

Uncorrected formation energy in eV/atom: 1.150
Crystal system: tetragonal
Space group: P4/mmm

***

The following is a DFT calculation (SCAN) of a crystal of BaLa2POs relaxed with PBEsol.

Cell and atoms, written as POSCAR:
```
BaLa2POs
1.0
-0.121 2.085 -4.572
0.065 -5.222 -2.383
-5.738 -0.116 0.098
P Os Ba La
1 1 1 2
direct
0.500 0.000 0.000
0.500 0.500 0.500
0.000 0.000 0.000
0.000 0.000 0.500
0.000 0.500 0.000
```

Crystal system: tetragonal
Space group: P4/mmm
ΔH_f (0 K) in meV/atom: 1818

***

The following is a DFT calculation (SCAN) of a crystal of Zr2Al3C4 relaxed with PBEsol.

Cell and atoms, written as POSCAR:
```
Zr2Al3C4
1.0
-0.277 0.378 3.305
2.934 -0.857 -1.342
5.328 21.370 -1.995
Zr Al C
4 6 8
direct
0.333 0.667 0.442
0.667 0.333 0.558
0.333 0.667 0.058
0.667 0.333 0.942
0.000 0.000 0.159
0.000 0.000 0.659
0.000 0.000 0.841
0.667 0.333 0.250
0.000 0.000 0.341
0.333 0.667 0.750
0.667 0.333 0.128
0.333 0.667 0.872
0.333 0.667 0.628
0.000 0.000 0.500
0.667 0.333 0.372
0.000 0.000 0.250
0.000 0.000 0.000
0.000 0.000 0.750
```

Crystal system: hexagonal
Space group: P6_3/mmc
ΔH_f (0 K) in meV/atom: -614

***

Please write out number 4 again, unchanged.
The following is a DFT calculation (SCAN) of a crystal of PuB4 relaxed with PBEsol.

Cell and atoms, written as POSCAR:
```
PuB4
1.0
-1.379 -3.282 -1.739
3.505 1.643 -5.880
5.592 -3.586 2.331
Pu B
4 16
direct
0.000 0.188 0.688
0.000 0.688 0.812
0.000 0.312 0.188
0.000 0.812 0.312
0.500 0.322 0.461
0.500 0.678 0.539
0.500 0.539 0.322
0.500 0.461 0.678
0.201 0.000 0.000
0.799 0.500 0.500
0.799 0.000 0.000
0.201 0.500 0.500
0.500 0.587 0.087
0.500 0.087 0.413
0.500 0.913 0.587
0.500 0.413 0.913
0.500 0.039 0.178
0.500 0.178 0.961
0.500 0.822 0.039
0.500 0.961 0.822
```

Crystal system: tetragonal
Space group: P4/mbm
ΔH_f (0 K) in meV/atom: -423